Crystalline CdIn3O at its relaxed geometry, computed with PBE-GGA.

Structure (POSCAR):
```
CdIn3O
1.0
5.426 0.000 0.000
0.000 5.426 0.000
0.000 0.000 5.426
O In Cd
1 3 1
direct
0.500 0.500 0.500
0.000 0.500 0.000
0.500 0.000 0.000
0.000 0.000 0.500
0.000 0.000 0.000
```

Calculated values
For the uncorrected energy, the calculation gives -2.19 eV/atom. The energy above the most stable polymorph in this dataset comes out at 0.821 eV/atom. The value obtained for the energy relative to the elements, uncorrected is 0.6245 eV per atom. The crystal system is cubic. The value obtained for the mass density is 4.92 g cm⁻³.

=====

Crystalline Cd2InO at its relaxed geometry, computed with PBE-GGA.

Structure (POSCAR):
```
Cd2InO
1.0
3.234 1.645 3.227
-1.515 2.304 3.998
0.407 -2.143 4.339
O Cd In
1 2 1
direct
0.000 0.000 0.000
0.250 0.250 0.250
0.750 0.750 0.750
0.500 0.500 0.500
```

Calculated values
For the uncorrected energy, the calculation gives -2.20 eV/atom. The energy above the most stable polymorph in this dataset comes out at 0.514 eV/atom. The value obtained for the energy relative to the elements, uncorrected is 0.1804 eV per atom. The crystal system is cubic. The value obtained for the mass density is 7.29 g cm⁻³.

=====

Crystalline CdIn2O at its relaxed geometry, computed with PBE-GGA.

Structure (POSCAR):
```
CdIn2O
1.0
6.875 0.000 0.000
0.000 6.875 0.000
3.438 3.438 3.822
O Cd In
2 2 4
direct
0.500 0.500 0.000
0.250 0.750 0.500
0.750 0.250 0.500
0.000 0.000 0.000
0.547 0.125 0.250
0.375 0.453 0.750
0.875 0.797 0.750
0.203 0.625 0.250
```

Calculated values
For the uncorrected energy, the calculation gives -3.26 eV/atom. The energy above the most stable polymorph in this dataset comes out at 0.000 eV/atom. The value obtained for the energy relative to the elements, uncorrected is -0.4180 eV per atom. The crystal system is tetragonal. The value obtained for the mass density is 6.58 g cm⁻³.

=====

Crystalline CdIn3O at its relaxed geometry, computed with PBE-GGA.

Structure (POSCAR):
```
CdIn3O
1.0
4.898 0.000 0.000
0.000 4.898 0.000
0.000 0.000 4.898
In O Cd
3 1 1
direct
0.000 0.500 0.000
0.500 0.000 0.000
0.000 0.000 0.500
0.000 0.000 0.000
0.500 0.500 0.500
```

Calculated values
For the uncorrected energy, the calculation gives -3.01 eV/atom. The energy above the most stable polymorph in this dataset comes out at 0.000 eV/atom. The value obtained for the energy relative to the elements, uncorrected is -0.1963 eV per atom. The crystal system is cubic. The value obtained for the mass density is 6.68 g cm⁻³.

=====

Crystalline CdInO2 at its relaxed geometry, computed with PBE-GGA.

Structure (POSCAR):
```
CdInO2
1.0
-0.065 -2.632 6.438
2.530 -0.596 6.451
-0.508 0.602 6.911
In O Cd
1 2 1
direct
0.500 0.500 0.500
0.112 0.112 0.112
0.888 0.888 0.888
0.000 0.000 0.000
```

Calculated values
For the uncorrected energy, the calculation gives -4.49 eV/atom. The energy above the most stable polymorph in this dataset comes out at 0.003 eV/atom. The value obtained for the energy relative to the elements, uncorrected is -1.0970 eV per atom. The crystal system is trigonal. The value obtained for the mass density is 6.83 g cm⁻³.

=====

Crystalline CdIn2O4 at its relaxed geometry, computed with PBE-GGA.

Structure (POSCAR):
```
CdIn2O4
1.0
-3.974 -0.511 -5.234
4.334 -3.981 -2.968
-2.366 -1.385 5.994
O In Cd
8 4 2
direct
0.248 0.266 0.518
0.271 0.267 0.005
0.762 0.267 0.495
0.248 0.730 0.982
0.238 0.733 0.505
0.729 0.733 0.995
0.752 0.734 0.482
0.752 0.270 0.018
0.885 0.135 0.750
0.115 0.865 0.250
0.000 0.500 0.500
0.500 0.500 0.000
0.500 0.500 0.500
0.500 0.000 0.000
```

Calculated values
For the uncorrected energy, the calculation gives -5.12 eV/atom. The energy above the most stable polymorph in this dataset comes out at 0.077 eV/atom. The value obtained for the energy relative to the elements, uncorrected is -1.3768 eV per atom. The crystal system is orthorhombic. The value obtained for the mass density is 6.69 g cm⁻³.

=====

Crystalline Cd2In2O5 at its relaxed geometry, computed with PBE-GGA.

Structure (POSCAR):
```
Cd2In2O5
1.0
-2.467 -2.596 0.261
0.597 -2.838 2.117
-5.888 4.142 10.257
Cd In O
2 2 5
direct
0.683 0.683 0.952
0.523 0.523 0.431
0.103 0.103 0.692
0.936 0.936 0.192
0.743 0.743 0.772
0.463 0.463 0.611
0.877 0.877 0.368
0.603 0.603 0.191
0.995 0.995 0.014
```

Calculated values
For the uncorrected energy, the calculation gives -4.85 eV/atom. The value obtained for the energy relative to the elements, uncorrected is -1.2803 eV per atom. The crystal system is trigonal. The value obtained for the mass density is 6.43 g cm⁻³.

=====

Crystalline Cd2InOsO8 at its relaxed geometry, computed with PBE-GGA.

Structure (POSCAR):
```
Cd2InOsO8
1.0
5.025 -0.207 -0.003
-0.196 5.013 -0.005
0.004 0.007 6.680
O In Cd Os
8 1 2 1
direct
0.172 0.825 0.797
0.298 0.294 0.500
0.719 0.722 0.000
0.702 0.706 0.500
0.828 0.175 0.797
0.281 0.278 0.000
0.172 0.825 0.203
0.828 0.175 0.203
0.000 0.000 0.500
0.500 0.500 0.752
0.500 0.500 0.248
0.000 0.000 0.000
```

Calculated values
For the uncorrected energy, the calculation gives -5.50 eV/atom. The value obtained for the energy relative to the elements, uncorrected is -0.8744 eV per atom. The crystal system is monoclinic. The value obtained for the mass density is 6.50 g cm⁻³.

=====

Crystalline CdInP2O8 at its relaxed geometry, computed with PBE-GGA.

Structure (POSCAR):
```
CdInP2O8
1.0
-3.487 0.261 -3.990
-1.428 -2.153 4.634
-2.017 5.973 2.153
O P In Cd
8 2 1 1
direct
0.172 0.345 0.718
0.173 0.828 0.718
0.827 0.172 0.282
0.667 0.333 0.980
0.345 0.173 0.282
0.655 0.827 0.718
0.333 0.667 0.020
0.828 0.655 0.282
0.667 0.333 0.211
0.333 0.667 0.789
0.000 0.000 0.500
0.000 0.000 0.000
```

Calculated values
For the uncorrected energy, the calculation gives -6.23 eV/atom. The value obtained for the energy relative to the elements, uncorrected is -1.7164 eV per atom. The crystal system is trigonal. The value obtained for the mass density is 4.27 g cm⁻³.

=====

Crystalline PaCdInO6 at its relaxed geometry, computed with PBE-GGA.

Structure (POSCAR):
```
PaCdInO6
1.0
4.750 0.000 0.000
0.000 5.614 0.000
0.000 -2.807 4.862
O In Pa Cd
6 1 1 1
direct
0.253 0.663 0.984
0.747 0.016 0.337
0.253 0.016 0.679
0.747 0.663 0.679
0.253 0.321 0.337
0.747 0.321 0.984
0.500 0.000 0.000
0.000 0.333 0.667
0.500 0.667 0.333
```

Calculated values
For the uncorrected energy, the calculation gives -6.57 eV/atom. The value obtained for the energy relative to the elements, uncorrected is -1.8033 eV per atom. The crystal system is trigonal. The value obtained for the mass density is 7.10 g cm⁻³.

=====

Crystalline PaCd4InO8 at its relaxed geometry, computed with PBE-GGA.

Structure (POSCAR):
```
PaCd4InO8
1.0
6.662 0.000 0.000
3.331 5.769 0.000
3.331 1.923 5.592
O Cd Pa In
8 4 1 1
direct
0.240 0.754 0.766
0.769 0.769 0.236
0.769 0.226 0.236
0.226 0.769 0.236
0.760 0.760 0.719
0.245 0.245 0.266
0.240 0.240 0.766
0.754 0.240 0.766
0.630 0.630 0.110
0.996 0.513 0.496
0.513 0.996 0.496
0.996 0.996 0.496
0.368 0.368 0.897
0.996 0.996 0.013
```

Calculated values
For the uncorrected energy, the calculation gives -5.58 eV/atom. The value obtained for the energy relative to the elements, uncorrected is -1.6105 eV per atom. The crystal system is trigonal. The value obtained for the mass density is 7.13 g cm⁻³.

=====

Crystalline Pa2CdInO8 at its relaxed geometry, computed with PBE-GGA.

Structure (POSCAR):
```
Pa2CdInO8
1.0
5.432 0.000 0.000
0.000 5.432 0.000
-2.716 -2.716 5.423
Pa In O Cd
2 1 8 1
direct
0.250 0.750 0.500
0.500 0.500 0.000
0.750 0.250 0.500
0.609 0.673 0.786
0.327 0.823 0.214
0.434 0.404 0.294
0.177 0.113 0.786
0.887 0.391 0.214
0.111 0.566 0.706
0.859 0.889 0.294
0.596 0.141 0.706
0.000 0.000 0.000
```

Calculated values
For the uncorrected energy, the calculation gives -7.69 eV/atom. The value obtained for the energy relative to the elements, uncorrected is -2.4994 eV per atom. The crystal system is tetragonal. The value obtained for the mass density is 8.48 g cm⁻³.

=====

Crystalline PaCd2InO6 at its relaxed geometry, computed with PBE-GGA.

Structure (POSCAR):
```
PaCd2InO6
1.0
-1.729 -5.365 1.071
3.155 -4.443 -1.797
3.026 -3.221 4.115
O In Cd Pa
6 1 2 1
direct
0.945 0.594 0.272
0.445 0.692 0.771
0.692 0.092 0.771
0.189 0.945 0.272
0.092 0.445 0.771
0.594 0.189 0.272
0.316 0.316 0.053
0.536 0.536 0.392
0.035 0.035 0.894
0.817 0.817 0.549
```

Calculated values
For the uncorrected energy, the calculation gives -6.43 eV/atom. The value obtained for the energy relative to the elements, uncorrected is -2.0506 eV per atom. The crystal system is trigonal. The value obtained for the mass density is 7.69 g cm⁻³.

=====

Crystalline CdIn2PbO6 at its relaxed geometry, computed with PBE-GGA.

Structure (POSCAR):
```
CdIn2PbO6
1.0
5.675 0.000 0.000
2.838 4.914 0.000
2.837 1.638 4.989
Pb O Cd In
1 6 1 2
direct
0.311 0.311 0.068
0.913 0.620 0.240
0.227 0.913 0.240
0.717 0.141 0.750
0.141 0.392 0.750
0.392 0.717 0.750
0.620 0.227 0.240
0.799 0.799 0.604
0.020 0.020 0.940
0.522 0.522 0.433
```

Calculated values
For the uncorrected energy, the calculation gives -5.23 eV/atom. The value obtained for the energy relative to the elements, uncorrected is -1.2484 eV per atom. The crystal system is trigonal. The value obtained for the mass density is 7.70 g cm⁻³.

=====

Crystalline CdInPbO4 at its relaxed geometry, computed with PBE-GGA.

Structure (POSCAR):
```
CdInPbO4
1.0
-2.451 -6.064 1.487
3.396 -4.037 4.261
-2.550 -1.164 6.175
O Cd In Pb
8 2 2 2
direct
0.755 0.213 0.277
0.216 0.767 0.267
0.784 0.233 0.733
0.755 0.777 0.713
0.749 0.767 0.267
0.245 0.787 0.723
0.245 0.223 0.287
0.251 0.233 0.733
0.374 0.376 0.876
0.626 0.624 0.124
0.000 0.000 0.500
0.500 0.000 0.500
0.000 0.000 0.000
0.000 0.500 0.500
```

Calculated values
For the uncorrected energy, the calculation gives -5.05 eV/atom. The value obtained for the energy relative to the elements, uncorrected is -1.1619 eV per atom. The crystal system is orthorhombic. The value obtained for the mass density is 7.50 g cm⁻³.

=====

Crystalline CdIn4PbO8 at its relaxed geometry, computed with PBE-GGA.

Structure (POSCAR):
```
CdIn4PbO8
1.0
6.680 0.000 0.000
3.340 5.785 0.000
3.340 1.928 5.512
In O Cd Pb
4 8 1 1
direct
0.003 0.003 0.497
0.003 0.497 0.497
0.619 0.619 0.142
0.497 0.003 0.497
0.251 0.251 0.710
0.740 0.740 0.290
0.755 0.755 0.735
0.241 0.241 0.278
0.251 0.788 0.710
0.788 0.251 0.710
0.230 0.740 0.290
0.740 0.230 0.290
0.380 0.380 0.860
0.002 0.002 0.994
```

Calculated values
For the uncorrected energy, the calculation gives -5.28 eV/atom. The value obtained for the energy relative to the elements, uncorrected is -1.3390 eV per atom. The crystal system is trigonal. The value obtained for the mass density is 7.07 g cm⁻³.

=====

Crystalline PmCdInO4 at its relaxed geometry, computed with PBE-GGA.

Structure (POSCAR):
```
PmCdInO4
1.0
-6.064 1.358 2.446
-4.762 -4.833 -0.005
-1.861 -2.639 5.967
O Cd In Pm
8 2 2 2
direct
0.249 0.219 0.284
0.751 0.216 0.281
0.247 0.234 0.734
0.751 0.781 0.716
0.249 0.784 0.719
0.215 0.766 0.266
0.785 0.234 0.734
0.753 0.766 0.266
0.378 0.372 0.872
0.622 0.628 0.128
0.000 0.000 0.500
0.500 0.000 0.500
0.000 0.500 0.500
0.000 0.000 0.000
```

Calculated values
For the uncorrected energy, the calculation gives -6.04 eV/atom. The value obtained for the energy relative to the elements, uncorrected is -2.0043 eV per atom. The crystal system is orthorhombic. The value obtained for the mass density is 6.52 g cm⁻³.

=====

Crystalline PmCdIn4O8 at its relaxed geometry, computed with PBE-GGA.

Structure (POSCAR):
```
PmCdIn4O8
1.0
6.652 0.000 0.000
3.326 5.761 0.000
3.326 1.920 5.592
O Pm In Cd
8 1 4 1
direct
0.245 0.786 0.724
0.245 0.245 0.724
0.751 0.751 0.274
0.762 0.762 0.713
0.786 0.245 0.724
0.224 0.751 0.274
0.236 0.236 0.292
0.751 0.224 0.274
0.001 0.001 0.998
0.001 0.498 0.501
0.624 0.624 0.128
0.498 0.001 0.501
0.001 0.001 0.501
0.375 0.375 0.874
```

Calculated values
For the uncorrected energy, the calculation gives -5.74 eV/atom. The value obtained for the energy relative to the elements, uncorrected is -1.7234 eV per atom. The crystal system is trigonal. The value obtained for the mass density is 6.54 g cm⁻³.

=====

Crystalline Cd2InPtO6 at its relaxed geometry, computed with PBE-GGA.

Structure (POSCAR):
```
Cd2InPtO6
1.0
5.568 0.000 -0.025
0.000 5.664 0.000
0.012 0.000 7.986
O Cd In Pt
12 4 2 2
direct
0.114 0.440 0.763
0.702 0.317 0.943
0.614 0.060 0.263
0.798 0.817 0.557
0.886 0.560 0.237
0.202 0.183 0.443
0.321 0.706 0.433
0.386 0.940 0.737
0.821 0.794 0.933
0.179 0.206 0.067
0.298 0.683 0.057
0.679 0.294 0.567
0.991 0.048 0.747
0.509 0.548 0.753
0.009 0.952 0.253
0.491 0.452 0.247
0.000 0.500 0.500
0.500 0.000 0.000
0.500 0.000 0.500
0.000 0.500 0.000
```

Calculated values
For the uncorrected energy, the calculation gives -4.95 eV/atom. The value obtained for the energy relative to the elements, uncorrected is -0.9104 eV per atom. The crystal system is monoclinic. The value obtained for the mass density is 8.32 g cm⁻³.

=====

Crystalline PuCd2InO6 at its relaxed geometry, computed with PBE-GGA.

Structure (POSCAR):
```
PuCd2InO6
1.0
4.241 0.000 0.000
0.000 6.061 0.000
0.000 0.000 6.061
O Cd Pu In
6 2 1 1
direct
0.183 0.000 0.000
0.713 0.246 0.246
0.153 0.500 0.500
0.713 0.246 0.754
0.713 0.754 0.754
0.713 0.754 0.246
0.971 0.000 0.500
0.971 0.500 0.000
0.678 0.000 0.000
0.639 0.500 0.500
```

Calculated values
For the uncorrected energy, the calculation gives -6.37 eV/atom. The value obtained for the energy relative to the elements, uncorrected is -1.5015 eV per atom. The crystal system is tetragonal. The value obtained for the mass density is 7.24 g cm⁻³.